CoIrI2O | PBE+U | optimized geometry Values from VASP.

Cell and atoms, written as Quantum ESPRESSO input:
```
&SYSTEM
  ibrav = 0, nat = 5, ntyp = 4
/
ATOMIC_SPECIES
I 126.90 I.upf
Ir 192.22 Ir.upf
Co 58.93 Co.upf
O 16.00 O.upf
CELL_PARAMETERS angstrom
5.357 0.000 0.000
0.000 5.357 0.000
0.000 0.000 3.462
ATOMIC_POSITIONS crystal
I 0.000 0.500 0.000
I 0.500 0.000 0.000
Ir 0.500 0.500 0.500
Co 0.000 0.000 0.000
O 0.000 0.000 0.500
```

Summary:
The calculation puts the energy above the lowest structure with this stoichiometry at 205.4 meV/atom. As for the space group: P4/mmm (123). The total moment comes out at 2.99 μB per formula unit. Its calculated total energy is -3.85 eV per atom.